Computed, not measured: a relaxed LiCrGe2O6 crystal at the PBEsol level of DFT.

Structure (POSCAR):
```
LiCrGe2O6
1.0
9.543 0.000 0.000
0.000 8.670 0.000
-1.206 0.000 5.194
Li Cr Ge O
4 4 8 24
Direct
0.243 0.012 0.459 Li
0.243 0.488 0.959 Li
0.757 0.512 0.041 Li
0.757 0.988 0.541 Li
0.248 0.660 0.457 Cr
0.248 0.840 0.957 Cr
0.752 0.160 0.043 Cr
0.752 0.340 0.543 Cr
0.054 0.158 0.828 Ge
0.054 0.342 0.328 Ge
0.455 0.155 0.222 Ge
0.455 0.345 0.722 Ge
0.545 0.655 0.278 Ge
0.545 0.845 0.778 Ge
0.946 0.658 0.672 Ge
0.946 0.842 0.172 Ge
0.114 0.184 0.166 O
0.114 0.316 0.666 O
0.133 0.507 0.241 O
0.133 0.993 0.741 O
0.138 0.667 0.738 O
0.138 0.833 0.238 O
0.355 0.666 0.179 O
0.355 0.834 0.679 O
0.382 0.205 0.489 O
0.382 0.295 0.989 O
0.388 0.530 0.664 O
0.388 0.970 0.164 O
0.612 0.030 0.836 O
0.612 0.470 0.336 O
0.618 0.705 0.011 O
0.618 0.795 0.511 O
0.645 0.166 0.321 O
0.645 0.334 0.821 O
0.862 0.167 0.762 O
0.862 0.333 0.262 O
0.867 0.007 0.259 O
0.867 0.493 0.759 O
0.886 0.684 0.334 O
0.886 0.816 0.834 O
```

The magnetization is 0.3000 μB per atom. The space group is P2_1/c. The value obtained for the uncorrected formation energy is -1759 kJ/mol of formula units. The energy above the most stable polymorph in this dataset comes out at 0 meV/atom. As for the total energy: -7.181 eV/atom.